DFT (PBE) results for an optimized crystal structure of CaVSi2.

Output
**Volume**: 70.7 Å³ per cell
**Symmetry**: Fm-3m
**Formation energy (no corrections)**: 0.069 eV per atom

Cell lengths 4.641, 4.641, 4.641 Å; angles 60.00, 60.00, 60.00 degrees
Positions (direct):
Ca  0.000  0.000  0.000
V  0.500  0.500  0.500
Si  0.250  0.250  0.250
Si  0.750  0.750  0.750


DFT (PBE) results for an optimized crystal structure of CaVSi3.

Output
**Volume**: 130.1 Å³ per cell
**Symmetry**: Pm-3m
**Formation energy (no corrections)**: 1.730 eV per atom

Cell lengths 5.067, 5.067, 5.067 Å; angles 90.00, 90.00, 90.00 degrees
Positions (direct):
Ca  0.000  0.000  0.000
V  0.500  0.500  0.500
Si  0.000  0.000  0.500
Si  0.000  0.500  0.000
Si  0.500  0.000  0.000


DFT (PBE) results for an optimized crystal structure of CaV2Si2.

Output
**Volume**: 157.5 Å³ per cell
**Symmetry**: P4/mbm
**Formation energy (no corrections)**: -0.131 eV per atom

Cell lengths 7.087, 7.087, 3.135 Å; angles 90.00, 90.00, 90.00 degrees
Positions (direct):
Ca  0.000  0.000  0.000
Ca  0.500  0.500  0.000
V  0.164  0.336  0.500
V  0.336  0.836  0.500
V  0.664  0.164  0.500
V  0.836  0.664  0.500
Si  0.123  0.623  0.000
Si  0.377  0.123  0.000
Si  0.623  0.877  0.000
Si  0.877  0.377  0.000


DFT (PBE) results for an optimized crystal structure of CaV2Si2.

Output
**Volume**: 155.2 Å³ per cell
**Symmetry**: P4/mbm
**Formation energy (no corrections)**: -0.230 eV per atom

Cell lengths 7.654, 7.654, 2.649 Å; angles 90.00, 90.00, 90.00 degrees
Positions (direct):
Ca  0.000  0.000  0.000
Ca  0.500  0.500  0.000
V  0.112  0.388  0.000
V  0.388  0.888  0.000
V  0.612  0.112  0.000
V  0.888  0.612  0.000
Si  0.178  0.678  0.500
Si  0.322  0.178  0.500
Si  0.678  0.822  0.500
Si  0.822  0.322  0.500


DFT (PBE) results for an optimized crystal structure of Ca2V2Si.

Output
**Volume**: 115.9 Å³ per cell
**Symmetry**: I4/mmm
**Formation energy (no corrections)**: 0.912 eV per atom

Cell lengths 7.095, 7.095, 7.095 Å; angles 145.17, 145.17, 50.08 degrees
Positions (direct):
Ca  0.250  0.750  0.500
Ca  0.750  0.250  0.500
V  0.070  0.070  0.000
V  0.930  0.930  0.000
Si  0.500  0.500  0.000


DFT (PBE) results for an optimized crystal structure of CaVSi2.

Output
**Volume**: 192.4 Å³ per cell
**Symmetry**: I-42d
**Formation energy (no corrections)**: 0.110 eV per atom

Cell lengths 8.795, 8.795, 8.795 Å; angles 147.81, 147.81, 46.16 degrees
Positions (direct):
Ca  0.000  0.000  0.000
Ca  0.750  0.250  0.500
V  0.250  0.750  0.500
V  0.500  0.500  0.000
Si  0.330  0.625  0.205
Si  0.375  0.580  0.705
Si  0.420  0.125  0.795
Si  0.875  0.670  0.295


The following final energy values (in eV/atom) correspond, in order, to the records above: -5.423 -3.747 -6.348 -6.447 -4.620 -5.382.